# Sr2LaTlAg

A geometry-optimized Sr2LaTlAg structure (GGA-PBE, the Alexandria database).

Output
Its space group is P4/mmm (123). For the total energy, the calculation gives -2.057 eV per atom. As for the formation enthalpy at 0 K: 62.2 kJ/mol of atoms. For the total magnetization, the calculation gives 0.00 μB per atom.

The structure in POSCAR format:
```
Sr2LaTlAg
1.0
-5.3445 -1.2725 -3.5086
-1.7509 -4.5570 4.3199
-2.7397 3.7274 2.8214
Sr Tl Ag La
2 1 1 1
direct
0.0000 0.5000 0.0000
0.5000 0.0000 0.0000
0.5000 0.5000 0.5000
0.0000 0.0000 0.5000
0.0000 0.0000 0.0000
```


# SrLa2Tl2Ag2

A geometry-optimized SrLa2Tl2Ag2 structure (GGA-PBE, the Alexandria database).

Output
Its space group is R-3m (166). For the total energy, the calculation gives -3.374 eV per atom. As for the formation enthalpy at 0 K: -22.6 kJ/mol of atoms. For the total magnetization, the calculation gives 0.00 μB per atom.

The structure in POSCAR format:
```
SrLa2Tl2Ag2
1.0
4.9880 0.0000 0.0000
2.4940 4.3197 0.0000
2.4940 1.4399 9.5411
Sr La Tl Ag
1 2 2 2
direct
0.0000 0.0000 0.0000
0.1377 0.1377 0.5868
0.8623 0.8623 0.4132
0.7392 0.7392 0.7823
0.2608 0.2608 0.2177
0.5756 0.5756 0.2733
0.4244 0.4244 0.7267
```


# SrLaYAg2

A geometry-optimized SrLaYAg2 structure (GGA-PBE, the Alexandria database).

Output
Its space group is P4/mmm (123). For the total energy, the calculation gives -2.965 eV per atom. As for the formation enthalpy at 0 K: 76.2 kJ/mol of atoms. For the total magnetization, the calculation gives 0.01 μB per atom.

The structure in POSCAR format:
```
SrLaYAg2
1.0
5.5022 0.0000 0.0000
0.0000 5.9261 0.0000
0.0000 0.0000 5.5022
Y Sr Ag La
1 1 2 1
direct
0.5000 0.5000 0.5000
0.0000 0.5000 0.0000
0.0000 0.0000 0.5000
0.5000 0.0000 0.0000
0.0000 0.0000 0.0000
```


# La2TaAg

A geometry-optimized La2TaAg structure (GGA-PBE, the Alexandria database).

Output
Its space group is Imm2 (44). Its distance to the lowest polymorph of the same formula is 0.065 eV per atom. For the total energy, the calculation gives -5.874 eV per atom. As for the formation enthalpy at 0 K: 25.6 kJ/mol of atoms. For the total magnetization, the calculation gives 0.00 μB per atom.

The structure in POSCAR format:
```
La2TaAg
1.0
6.6221 0.0072 -0.0080
3.5231 5.6071 0.0080
-4.3775 -4.0633 2.8600
La Ag Ta
2 1 1
direct
0.0205 0.0205 0.0000
0.7260 0.2260 0.5000
0.2801 0.7801 0.5000
0.4734 0.4734 0.0000
```


# LaTaAg2

A geometry-optimized LaTaAg2 structure (GGA-PBE, the Alexandria database).

Output
Its space group is Fmmm (69). Its distance to the lowest polymorph of the same formula is 0.182 eV per atom. For the total energy, the calculation gives -5.215 eV per atom. As for the formation enthalpy at 0 K: 39.2 kJ/mol of atoms. For the total magnetization, the calculation gives 0.00 μB per atom.

The structure in POSCAR format:
```
LaTaAg2
1.0
-3.0509 4.3834 -1.0177
-4.8157 -0.5033 2.4731
5.1021 -0.5370 1.8273
Ta Ag La
1 2 1
direct
0.7500 0.2500 0.5000
0.0002 0.9998 0.0000
0.4998 0.5002 0.0000
0.2500 0.7500 0.5000
```


# LaTa4Ag

A geometry-optimized LaTa4Ag structure (GGA-PBE, the Alexandria database).

Output
Its space group is F-43m (216). For the total energy, the calculation gives -8.689 eV per atom. As for the formation enthalpy at 0 K: 49.1 kJ/mol of atoms. For the total magnetization, the calculation gives 0.00 μB per atom.

The structure in POSCAR format:
```
LaTa4Ag
1.0
-3.0492 -4.7976 -0.1163
-4.8400 -0.2209 -2.9754
-0.2669 -3.0839 -4.7693
La Ta Ag
1 4 1
direct
0.0000 0.0000 0.0000
0.8803 0.3732 0.3732
0.3732 0.3732 0.8803
0.3732 0.8803 0.3732
0.3732 0.3732 0.3732
0.7500 0.7500 0.7500
```


# La2TaAg

A geometry-optimized La2TaAg structure (GGA-PBE, the Alexandria database).

Output
Its space group is Cm (8). Its distance to the lowest polymorph of the same formula is 0.051 eV per atom. For the total energy, the calculation gives -5.888 eV per atom. As for the formation enthalpy at 0 K: 24.2 kJ/mol of atoms. For the total magnetization, the calculation gives 0.00 μB per atom.

The structure in POSCAR format:
```
La2TaAg
1.0
-3.5365 4.3063 -2.6881
-3.7743 1.6603 -4.6125
-5.2864 -0.8481 1.8194
La Ag Ta
2 1 1
direct
0.0236 0.0236 0.9476
0.2219 0.2219 0.3143
0.7846 0.7846 0.7745
0.4699 0.4699 0.4636
```


# LaTaAg2

A geometry-optimized LaTaAg2 structure (GGA-PBE, the Alexandria database).

Output
Its space group is Cmmm (65). Its distance to the lowest polymorph of the same formula is 0.102 eV per atom. For the total energy, the calculation gives -5.295 eV per atom. As for the formation enthalpy at 0 K: 31.5 kJ/mol of atoms. For the total magnetization, the calculation gives 0.00 μB per atom.

The structure in POSCAR format:
```
LaTaAg2
1.0
5.4640 0.0128 -0.0270
-2.0206 5.0767 -0.0270
0.0145 0.0214 3.0284
Ta Ag La
1 2 1
direct
0.0000 0.5000 0.5000
0.0000 0.0000 0.0000
0.5000 0.5000 0.0000
0.5000 0.0000 0.5000
```